1.
First-principles (PBE) data for a relaxed structure of Pr3NdDy, as listed in Alexandria via LeMat-Bulk.

* space-group type: No. 12

Cell and atoms, written as POSCAR:
```
Pr3NdDy
1.0
8.862 -3.465 0.000
8.862 3.465 0.000
-2.107 0.000 5.783
Pr Nd Dy
6 2 2
direct
0.080 0.615 0.598
0.274 0.274 0.025
0.385 0.920 0.402
0.615 0.080 0.598
0.726 0.726 0.975
0.920 0.385 0.402
0.500 0.500 0.000
0.500 0.500 0.500
0.051 0.051 0.800
0.949 0.949 0.200
```

---

2.
First-principles (PBE) data for a relaxed structure of Pr3NdDy, as listed in Alexandria via LeMat-Bulk.

* space-group type: No. 63

Cell and atoms, written as POSCAR:
```
Pr3NdDy
1.0
4.103 -7.118 0.000
4.103 7.118 0.000
0.000 0.000 6.284
Pr Nd Dy
6 2 2
direct
0.000 0.000 0.000
0.000 0.000 0.500
0.199 0.402 0.750
0.402 0.199 0.250
0.598 0.801 0.750
0.801 0.598 0.250
0.200 0.800 0.750
0.800 0.200 0.250
0.332 0.668 0.250
0.668 0.332 0.750
```

---

Last place for stability: 2

---

1.
First-principles (PBE) data for a relaxed structure of Pr7Nd2Dy2, as listed in Alexandria via LeMat-Bulk.

* space-group type: No. 65

Cell and atoms, written as POSCAR:
```
Pr7Nd2Dy2
1.0
3.397 -6.169 0.000
3.397 6.169 0.000
0.000 0.000 9.674
Pr Nd Dy
7 2 2
direct
0.000 0.000 0.000
0.000 0.500 0.316
0.000 0.500 0.684
0.500 0.000 0.316
0.500 0.000 0.684
0.500 0.500 0.177
0.500 0.500 0.823
0.249 0.249 0.500
0.751 0.751 0.500
0.267 0.733 0.000
0.733 0.267 0.000
```

---

2.
First-principles (PBE) data for a relaxed structure of Pr7Nd2Dy2, as listed in Alexandria via LeMat-Bulk.

* space-group type: No. 12

Cell and atoms, written as POSCAR:
```
Pr7Nd2Dy2
1.0
4.332 -5.554 0.000
4.332 5.554 0.000
-2.051 0.000 8.177
Pr Nd Dy
7 2 2
direct
0.000 0.000 0.000
0.092 0.511 0.829
0.195 0.195 0.479
0.489 0.908 0.171
0.511 0.092 0.829
0.805 0.805 0.521
0.908 0.489 0.171
0.420 0.420 0.180
0.580 0.580 0.820
0.287 0.713 0.500
0.713 0.287 0.500
```

---

Last place for stability: 1

---

1.
First-principles (PBE) data for a relaxed structure of Pr4NdDy5, as listed in Alexandria via LeMat-Bulk.

* space-group type: No. 123

Cell and atoms, written as POSCAR:
```
Pr4NdDy5
1.0
3.644 0.000 0.000
0.000 3.644 0.000
0.000 0.000 25.363
Pr Nd Dy
4 1 5
direct
0.000 0.000 0.100
0.000 0.000 0.300
0.000 0.000 0.700
0.000 0.000 0.900
0.000 0.000 0.500
0.500 0.500 0.000
0.500 0.500 0.200
0.500 0.500 0.401
0.500 0.500 0.599
0.500 0.500 0.800
```

---

2.
First-principles (PBE) data for a relaxed structure of Pr4NdDy5, as listed in Alexandria via LeMat-Bulk.

* space-group type: No. 107

Cell and atoms, written as POSCAR:
```
Pr4NdDy5
1.0
-5.329 5.329 3.056
5.329 -5.329 3.056
5.329 5.329 -3.056
Pr Nd Dy
4 1 5
direct
0.000 0.326 0.326
0.000 0.674 0.674
0.326 0.000 0.326
0.674 0.000 0.674
0.266 0.266 0.000
0.347 0.347 0.622
0.347 0.726 0.000
0.726 0.347 0.000
0.726 0.726 0.378
0.795 0.795 0.000
```

---

Last place for stability: 2

---

1.
First-principles (PBE) data for a relaxed structure of Pr2Nd3Dy4, as listed in Alexandria via LeMat-Bulk.

* space-group type: No. 15

Cell and atoms, written as POSCAR:
```
Pr2Nd3Dy4
1.0
8.337 -5.918 0.000
8.337 5.918 0.000
-0.799 0.000 6.135
Pr Nd Dy
4 6 8
direct
0.013 0.765 0.713
0.235 0.987 0.787
0.765 0.013 0.213
0.987 0.235 0.287
0.137 0.863 0.250
0.194 0.480 0.410
0.480 0.194 0.910
0.520 0.806 0.090
0.806 0.520 0.590
0.863 0.137 0.750
0.115 0.348 0.862
0.328 0.556 0.960
0.348 0.115 0.362
0.444 0.672 0.540
0.556 0.328 0.460
0.652 0.885 0.638
0.672 0.444 0.040
0.885 0.652 0.138
```

---

2.
First-principles (PBE) data for a relaxed structure of Pr2Nd3Dy4, as listed in Alexandria via LeMat-Bulk.

* space-group type: No. 2

Cell and atoms, written as POSCAR:
```
Pr2Nd3Dy4
1.0
6.276 0.000 0.000
1.038 6.198 0.000
2.088 0.727 7.803
Pr Nd Dy
2 3 4
direct
0.168 0.333 0.333
0.832 0.667 0.667
0.058 0.110 0.778
0.500 0.000 0.000
0.942 0.890 0.222
0.278 0.553 0.888
0.391 0.775 0.446
0.609 0.225 0.554
0.722 0.447 0.112
```

---

Last place for stability: 1